Record 1
Density functional theory data (PBEsol) for crystalline TiHgO2 at its relaxed geometry.

For the total energy, the calculation gives -28.03 eV/cell. The raw formation energy is -2.16 eV/atom.

Structure (POSCAR):
```
TiHgO2
1.0
1.482 0.855 7.763
-1.482 0.855 7.763
0.000 -1.711 7.763
Ti Hg O
1 1 2
Direct
0.000 0.000 0.000
0.500 0.500 0.500
0.376 0.376 0.376
0.624 0.624 0.624
```

***

Record 2
Density functional theory data (PBEsol) for crystalline TiHgO2 at its relaxed geometry.

For the total energy, the calculation gives -55.85 eV/cell. The raw formation energy is -2.13 eV/atom.

Structure (POSCAR):
```
TiHgO2
1.0
0.000 4.190 4.190
4.190 0.000 4.190
4.190 4.190 0.000
Ti Hg O
2 2 4
Direct
0.125 0.125 0.125
0.875 0.875 0.875
0.375 0.375 0.375
0.625 0.625 0.625
0.000 0.000 0.000
0.000 0.000 0.500
0.000 0.500 0.000
0.500 0.000 0.000
```